Record 1
First-principles (PBE) data for a relaxed structure of PmNd3Cd3, as listed in Alexandria.

Calculated values
- E_tot (eV/atom) = -3.28
- crystal system = orthorhombic
- volume (A^3/atom) = 30.9
- formation energy (eV/atom) = -0.1610

a b c (Å): 10.890 10.947 7.268
angles (deg): 90.00 90.00 90.00
Space group Cmmm (No. 65)
Unique sites:
Pm: 0.000 0.243 0.000 x4
Nd: 0.000 0.243 0.500 x4
Nd: 0.240 0.000 0.000 x4
Nd: 0.241 0.000 0.500 x4
Cd: 0.000 0.500 0.247 x4
Cd: 0.250 0.250 0.248 x8

Record 2
First-principles (PBE) data for a relaxed structure of LiAcSiPt2, as listed in Alexandria.

Calculated values
- E_tot (eV/atom) = -5.66
- crystal system = tetragonal
- volume (A^3/atom) = 19.5

a b c (Å): 4.237 4.237 10.871
angles (deg): 90.00 90.00 90.00
Space group I-4m2 (No. 119)
Unique sites:
Li: 0.000 0.000 0.000 x2
Ac: 0.000 0.500 0.750 x2
Si: 0.000 0.000 0.500 x2
Pt: 0.000 0.500 0.120 x4

Record 3
First-principles (PBE) data for a relaxed structure of PrThSc4, as listed in Alexandria.

Calculated values
- E_tot (eV/atom) = -6.19
- crystal system = orthorhombic
- volume (A^3/atom) = 27.6
- formation energy (eV/atom) = 0.0651

a b c (Å): 6.669 18.575 5.351
angles (deg): 90.00 90.00 90.00
Space group Cmcm (No. 63)
Unique sites:
Pr: 0.000 0.123 0.250 x4
Th: 0.000 0.373 0.750 x4
Sc: 0.244 0.458 0.250 x8
Sc: 0.249 0.291 0.250 x8

E_tot of number 3 (PrThSc4)?
-6.19 eV/atom

The highest volume belongs to which entry?
PmNd3Cd3

Which of these has the lowest E_tot?
PrThSc4